1.
A plane-wave DFT calculation with PBE was carried out for a relaxed structure of Li2GeSe.

The structure in POSCAR format:
```
Li2GeSe
1.0
-3.685 3.685 2.813
3.685 -3.685 2.813
3.685 3.685 -2.813
Li Ge Se
4 2 2
direct
0.083 0.625 0.958
0.375 0.333 0.458
0.667 0.125 0.042
0.875 0.917 0.542
0.250 0.750 0.500
0.500 0.500 0.000
0.000 0.000 0.000
0.750 0.250 0.500
```



2.
A plane-wave DFT calculation with PBE was carried out for a relaxed structure of LiGeSe.

The structure in POSCAR format:
```
LiGeSe
1.0
4.351 0.000 0.000
-0.916 4.964 0.000
-0.546 -1.269 6.026
Li Ge Se
2 2 2
direct
0.000 0.000 0.000
0.452 0.556 0.070
0.492 0.910 0.569
0.917 0.618 0.500
0.550 0.100 0.230
0.905 0.457 0.852
```



3.
A plane-wave DFT calculation with PBE was carried out for a relaxed structure of LiGeSe3.

The structure in POSCAR format:
```
LiGeSe3
1.0
5.065 0.000 0.000
0.000 5.065 0.000
0.000 0.000 5.065
Li Ge Se
1 1 3
direct
0.000 0.000 0.000
0.500 0.500 0.500
0.000 0.500 0.500
0.500 0.000 0.500
0.500 0.500 0.000
```



Number 1: distance to the lowest polymorph of the same formula 0 meV/atom, formation energy without anion corrections -1.5 eV per formula unit. Number 2: distance to the lowest polymorph of the same formula 113 meV/atom, formation energy without anion corrections -1.7 eV per formula unit. Number 3: distance to the lowest polymorph of the same formula 425 meV/atom, formation energy without anion corrections 0.1 eV per formula unit.